Compound: BeGaO2
Source: Alexandria via LeMat-Bulk
Functional: PBE-GGA
Structure: relaxed

Structure (POSCAR):
```
BeGaO2
1.0
-2.828 2.844 2.332
2.828 -2.844 2.332
2.828 2.844 -2.332
Be Ga O
2 2 4
direct
0.250 0.250 0.000
0.750 0.750 0.000
0.250 0.750 0.500
0.750 0.250 0.500
0.150 0.151 0.301
0.350 0.651 0.001
0.650 0.349 0.999
0.850 0.849 0.699
```

Summary:
The calculation puts the total energy at -5.58 eV/atom. The calculation puts the raw formation energy at -1.4121 eV/atom.